A relaxed structure of LiLu2Bi, computed with GGA-PBE.

For the final energy, the calculation gives -3.998 eV per atom. As for the energy of formation from the pure elements: -289 meV/atom. As for the energy above the most stable polymorph in this dataset: 0.000 eV/atom.

Unit cell a=4.433 b=4.773 c=4.773 alpha=90.00 beta=90.00 gamma=90.00
Sites, in units of the cell vectors:
1 Lu 0.000 0.000 0.500
2 Lu 0.000 0.500 0.000
3 Li 0.500 0.000 0.000
4 Bi 0.500 0.500 0.500


A relaxed structure of Tl2SeCl, computed with GGA-PBE.

For the final energy, the calculation gives -2.749 eV per atom. Its energy relative to the elements, uncorrected is -22.5 kJ/mol of atoms. As for the energy above the most stable polymorph in this dataset: 0.349 eV/atom.

Unit cell a=5.376 b=5.376 c=5.376 alpha=60.00 beta=60.00 gamma=60.00
Sites, in units of the cell vectors:
1 Tl 0.000 0.000 0.000
2 Tl 0.750 0.750 0.750
3 Cl 0.500 0.500 0.500
4 Se 0.250 0.250 0.250


A relaxed structure of Pr2Er3Tm6Zr, computed with GGA-PBE.

For the final energy, the calculation gives -4.827 eV per atom. As for the energy of formation from the pure elements: 58 meV/atom.

Unit cell a=6.063 b=6.063 c=11.585 alpha=94.99 beta=94.99 gamma=119.93
Sites, in units of the cell vectors:
1 Er 0.166 0.834 0.500
2 Er 0.500 0.500 0.500
3 Er 0.834 0.166 0.500
4 Tm 0.757 0.757 0.249
5 Tm 0.917 0.590 0.751
6 Tm 0.243 0.243 0.751
7 Tm 0.410 0.083 0.249
8 Tm 0.590 0.917 0.751
9 Tm 0.083 0.410 0.249
10 Pr 0.333 0.667 0.000
11 Pr 0.667 0.333 0.000
12 Zr 0.000 0.000 0.000


A relaxed structure of K2AgTeS4, computed with GGA-PBE.

For the final energy, the calculation gives -3.421 eV per atom. Its energy relative to the elements, uncorrected is -32.2 kJ/mol of atoms.

Unit cell a=6.191 b=7.444 c=12.255 alpha=83.97 beta=75.37 gamma=65.43
Sites, in units of the cell vectors:
1 S 0.416 0.729 0.391
2 S 0.214 0.229 0.891
3 S 0.193 0.271 0.391
4 S 0.557 0.229 0.109
5 S 0.334 0.771 0.109
6 S 0.895 0.771 0.891
7 S 0.855 0.729 0.609
8 S 0.536 0.271 0.609
9 Te 0.250 0.500 0.500
10 Te 0.500 0.000 0.000
11 K 0.817 0.000 0.366
12 K 0.933 0.500 0.134
13 K 0.183 0.000 0.634
14 K 0.567 0.500 0.866
15 Ag 0.000 0.000 0.000
16 Ag 0.750 0.500 0.500